(1)
Crystalline ErZn2Pd4 at its relaxed geometry. Source: Alexandria, functional PBE.

Properties
The formation energy comes out at -0.50 eV/atom.

Unit cell a=5.444 b=5.444 c=5.444 alpha=106.54 beta=106.54 gamma=115.51
Fractional coordinates of all 7 atoms:
Er 0.000 0.000 0.000
Zn 0.000 0.500 0.500
Zn 0.500 0.000 0.500
Pd 0.000 0.000 0.500
Pd 0.000 0.500 0.000
Pd 0.500 0.000 0.000
Pd 0.500 0.500 0.500

(2)
Crystalline Er2Zn5Pd at its relaxed geometry. Source: Alexandria, functional PBE.

Properties
The formation energy comes out at -0.43 eV/atom.

Unit cell a=8.468 b=8.468 c=9.120 alpha=90.00 beta=90.00 gamma=152.78
Fractional coordinates of all 16 atoms:
Er 0.000 0.000 0.000
Er 0.000 0.000 0.500
Er 0.183 0.817 0.750
Er 0.817 0.183 0.250
Zn 0.201 0.799 0.106
Zn 0.201 0.799 0.394
Zn 0.359 0.641 0.022
Zn 0.359 0.641 0.478
Zn 0.391 0.609 0.750
Zn 0.609 0.391 0.250
Zn 0.641 0.359 0.522
Zn 0.641 0.359 0.978
Zn 0.799 0.201 0.606
Zn 0.799 0.201 0.894
Pd 0.454 0.546 0.250
Pd 0.546 0.454 0.750

(3)
Crystalline Er3Zn2Pd3 at its relaxed geometry. Source: Alexandria, functional PBE.

Properties
The formation energy comes out at -0.71 eV/atom.

Unit cell a=8.191 b=8.191 c=5.541 alpha=90.00 beta=90.00 gamma=120.00
Fractional coordinates of all 16 atoms:
Er 0.000 0.267 0.250
Er 0.000 0.733 0.750
Er 0.267 0.000 0.250
Er 0.267 0.267 0.750
Er 0.733 0.000 0.750
Er 0.733 0.733 0.250
Zn 0.333 0.667 0.000
Zn 0.333 0.667 0.500
Zn 0.667 0.333 0.000
Zn 0.667 0.333 0.500
Pd 0.000 0.396 0.750
Pd 0.000 0.604 0.250
Pd 0.396 0.000 0.750
Pd 0.396 0.396 0.250
Pd 0.604 0.000 0.250
Pd 0.604 0.604 0.750

(4)
Crystalline ErZn4Pd7 at its relaxed geometry. Source: Alexandria, functional PBE.

Properties
The formation energy comes out at -0.36 eV/atom.

Unit cell a=6.167 b=6.167 c=9.032 alpha=121.22 beta=121.22 gamma=46.04
Fractional coordinates of all 12 atoms:
Er 0.000 0.000 0.000
Zn 0.290 0.290 0.667
Zn 0.430 0.430 0.227
Zn 0.570 0.570 0.773
Zn 0.710 0.710 0.333
Pd 0.065 0.065 0.354
Pd 0.220 0.220 0.892
Pd 0.344 0.344 0.425
Pd 0.500 0.500 0.000
Pd 0.656 0.656 0.575
Pd 0.780 0.780 0.108
Pd 0.935 0.935 0.646

(5)
Crystalline Er6Zn5Pd at its relaxed geometry. Source: Alexandria, functional PBE.

Properties
The formation energy comes out at -0.45 eV/atom.

Unit cell a=4.985 b=7.036 c=7.882 alpha=90.00 beta=108.37 gamma=90.00
Fractional coordinates of all 12 atoms:
Er 0.000 0.247 0.000
Er 0.000 0.753 0.000
Er 0.335 0.250 0.670
Er 0.335 0.750 0.670
Er 0.665 0.250 0.330
Er 0.665 0.750 0.330
Zn 0.168 0.500 0.336
Zn 0.172 0.000 0.344
Zn 0.500 0.500 0.000
Zn 0.828 0.000 0.656
Zn 0.832 0.500 0.664
Pd 0.500 0.000 0.000

(6)
Crystalline Er2Zn2Pd at its relaxed geometry. Source: Alexandria, functional PBE.

Properties
The formation energy comes out at -0.46 eV/atom. As for the excess energy over the best structure of this formula in the dataset: 86.9 meV per atom.

Unit cell a=6.990 b=6.990 c=4.233 alpha=90.00 beta=90.00 gamma=90.00
Fractional coordinates of all 10 atoms:
Er 0.175 0.325 0.000
Er 0.325 0.825 0.000
Er 0.675 0.175 0.000
Er 0.825 0.675 0.000
Zn 0.128 0.628 0.500
Zn 0.372 0.128 0.500
Zn 0.628 0.872 0.500
Zn 0.872 0.372 0.500
Pd 0.000 0.000 0.500
Pd 0.500 0.500 0.500